Below is YS2N2 after structural relaxation, with properties calculated at the GGA-PBEsol level.

Lattice parameters (Å, degrees): 3.9940 3.9940 4.0452 90.00 90.00 90.00
Last column: nearest neighbours and their distance in Å.
Fractional positions:
S (0.0000, 0.5000, 0.0000)  2 N 2.00
N (0.0000, 0.0000, 0.5000)  2 N 2.02
S (0.5000, 0.0000, 0.0000)  2 N 2.00
N (0.0000, 0.0000, 0.0000)  4 S 2.00, 2 N 2.02
Y (0.5000, 0.5000, 0.5000)  4 N 2.82, 8 S 2.84

Computed properties:
The space-group type is P4/mmm, No. 123. The value obtained for the formation energy without anion corrections is 0.3009 eV/atom. For the density of states at the Fermi level, the calculation gives 2.04 states/eV/cell. The final energy is -6.23 eV per atom.